Record 1
# Na2Ca2Hf

A relaxed structure of Na2Ca2Hf (PBE, Alexandria).

Its space group is P4/mbm, No. 127. Its density of states at the Fermi level is 0.72 states/eV/atom. The calculation puts the formation energy from the elements at 0.5811 eV per atom. The calculation puts the relative energy among the computed polymorphs at 0.0 meV/atom.

a = 9.219 Å, b = 9.219 Å, c = 3.720 Å
α = 90.00°, β = 90.00°, γ = 90.00°
Positions (direct):
Na1 0.116 0.384 0.000
Na2 0.384 0.884 0.000
Na3 0.616 0.116 0.000
Na4 0.884 0.616 0.000
Ca1 0.190 0.690 0.500
Ca2 0.310 0.190 0.500
Ca3 0.690 0.810 0.500
Ca4 0.810 0.310 0.500
Hf1 0.000 0.000 0.000
Hf2 0.500 0.500 0.000

Record 2
# Tb2Sm2YMg5

A relaxed structure of Tb2Sm2YMg5 (PBE, Alexandria).

Its space group is P4/mbm, No. 127. Its density of states at the Fermi level is 0.69 states/eV/atom. The calculation puts the formation energy from the elements at 0.0391 eV per atom.

a = 10.621 Å, b = 10.621 Å, c = 5.086 Å
α = 90.00°, β = 90.00°, γ = 90.00°
Positions (direct):
Tb1 0.120 0.380 0.000
Tb2 0.380 0.880 0.000
Tb3 0.620 0.120 0.000
Tb4 0.880 0.620 0.000
Sm1 0.177 0.677 0.000
Sm2 0.323 0.177 0.000
Sm3 0.677 0.823 0.000
Sm4 0.823 0.323 0.000
Y1 0.000 0.000 0.000
Y2 0.500 0.500 0.000
Mg1 0.000 0.500 0.500
Mg2 0.070 0.197 0.500
Mg3 0.197 0.930 0.500
Mg4 0.303 0.430 0.500
Mg5 0.430 0.697 0.500
Mg6 0.500 0.000 0.500
Mg7 0.570 0.303 0.500
Mg8 0.697 0.570 0.500
Mg9 0.803 0.070 0.500
Mg10 0.930 0.803 0.500

Q: Look up the formation energy from the elements of the first one.
A: 0.5811 eV per atom